Computed, not measured: a relaxed NaHfMg6O7 crystal at the GGA-PBE level of DFT.

Structure (extended XYZ):
```
15
Lattice="4.3678 0.0000 0.0000 0.0000 4.3678 0.0000 0.0000 0.0000 8.7494" Properties=species:S:1:pos:R:3 pbc="T T T"
Na 0.0000 0.0000 0.0000
Hf 0.0000 0.0000 4.2987
Mg 0.0000 2.1839 2.0093
Mg 0.0000 2.1839 6.6898
Mg 2.1839 0.0000 2.0093
Mg 2.1839 0.0000 6.6898
Mg 2.1839 2.1839 4.3222
Mg 2.1839 2.1839 8.7286
O 0.0000 0.0000 6.4178
O 0.0000 2.1839 4.3905
O 0.0000 2.1839 8.7176
O 2.1839 0.0000 4.3905
O 2.1839 0.0000 8.7176
O 2.1839 2.1839 2.1826
O 2.1839 2.1839 6.5006
```

* space-group type: P4mm (99)
* E_form (uncorrected): -2.26 eV/atom
* distance to the lowest polymorph of the same formula: 39.8 meV/atom